ZrGeTe3Se | OQMD | PBE | optimized geometry; total magnetic moment = 0.00 μB per atom; uncorrected energy = -4.927 eV per atom; SG = Cmc2_1 (36); energy above the most stable polymorph in this dataset = 27 meV per atom
1.0
1.9829 -8.2668 0.0000
1.9829 8.2668 0.0000
0.0000 0.0000 11.0772
Zr Ge Te Se
2 2 6 2
Direct
0.1534 0.8466 0.5000 Zr
0.8466 0.1534 0.0000 Zr
0.2715 0.7285 0.3092 Ge
0.7285 0.2715 0.8092 Ge
0.1194 0.8806 0.7739 Te
0.2204 0.7796 0.0748 Te
0.4011 0.5989 0.8140 Te
0.5989 0.4011 0.3140 Te
0.7796 0.2204 0.5748 Te
0.8806 0.1194 0.2739 Te
0.4630 0.5370 0.0283 Se
0.5370 0.4630 0.5283 Se

TaTcSn | OQMD | PBE | optimized geometry; total magnetic moment = 0.04 μB per atom; uncorrected energy = -8.531 eV per atom; SG = F-43m (216); energy above the most stable polymorph in this dataset = 0 meV per atom
1.0
0.0000 3.1383 3.1383
3.1383 0.0000 3.1383
3.1383 3.1383 0.0000
Ta Tc Sn
1 1 1
Direct
0.0000 0.0000 0.0000 Ta
0.7500 0.7500 0.7500 Tc
0.5000 0.5000 0.5000 Sn

Ta2NbOs | OQMD | PBE | optimized geometry; total magnetic moment = 0.00 μB per atom; uncorrected energy = -11.514 eV per atom; SG = P4/mmm (123); calculated formation energy = -5.957 kcal/mol of atoms; energy above the most stable polymorph in this dataset = 57 meV per atom
1.0
3.2289 0.0000 0.0000
0.0000 3.2289 0.0000
0.0000 0.0000 6.5627
Ta Nb Os
2 1 1
Direct
0.0000 0.0000 0.2449 Ta
0.0000 0.0000 0.7551 Ta
0.5000 0.5000 0.5000 Nb
0.5000 0.5000 0.0000 Os

ReN2 | OQMD | PBE | optimized geometry; total magnetic moment = 0.00 μB per atom; uncorrected energy = -9.528 eV per atom; SG = P2_1/c (14)
1.0
3.6382 0.0000 0.0000
0.0000 6.4385 0.0000
-1.8122 0.0000 4.6199
Re N
4 8
Direct
0.1456 0.1605 0.3011 Re
0.1456 0.3395 0.8011 Re
0.8544 0.6605 0.1989 Re
0.8544 0.8395 0.6989 Re
0.2465 0.6401 0.9825 N
0.2465 0.8599 0.4825 N
0.3114 0.0369 0.9699 N
0.3114 0.4631 0.4699 N
0.6886 0.5369 0.5301 N
0.6886 0.9631 0.0301 N
0.7535 0.1401 0.5175 N
0.7535 0.3599 0.0175 N

CsSrPt | OQMD | PBE | optimized geometry; total magnetic moment = 0.00 μB per atom; uncorrected energy = -2.992 eV per atom; SG = F-43m (216)
1.0
0.0000 3.8267 3.8267
3.8267 0.0000 3.8267
3.8267 3.8267 0.0000
Cs Sr Pt
1 1 1
Direct
0.0000 0.0000 0.0000 Cs
0.5000 0.5000 0.5000 Sr
0.2500 0.2500 0.2500 Pt

La3Re3Mo2N12 | OQMD | PBE | optimized geometry; total magnetic moment = 0.00 μB per atom; uncorrected energy = -9.302 eV per atom; SG = Ia-3d (230)
1.0
-6.5177 6.5177 6.5177
6.5177 -6.5177 6.5177
6.5177 6.5177 -6.5177
La Re Mo N
12 12 8 48
Direct
0.1250 0.2500 0.3750 La
0.1250 0.3750 0.7500 La
0.2500 0.3750 0.1250 La
0.2500 0.8750 0.6250 La
0.3750 0.1250 0.2500 La
0.3750 0.7500 0.1250 La
0.6250 0.2500 0.8750 La
0.6250 0.8750 0.7500 La
0.7500 0.1250 0.3750 La
0.7500 0.6250 0.8750 La
0.8750 0.6250 0.2500 La
0.8750 0.7500 0.6250 La
0.1250 0.7500 0.8750 Re
0.1250 0.8750 0.2500 Re
0.2500 0.1250 0.8750 Re
0.2500 0.6250 0.3750 Re
0.3750 0.2500 0.6250 Re
0.3750 0.6250 0.7500 Re
0.6250 0.3750 0.2500 Re
0.6250 0.7500 0.3750 Re
0.7500 0.3750 0.6250 Re
0.7500 0.8750 0.1250 Re
0.8750 0.1250 0.7500 Re
0.8750 0.2500 0.1250 Re
0.0000 0.0000 0.0000 Mo
0.0000 0.0000 0.5000 Mo
0.0000 0.5000 0.0000 Mo
0.0000 0.5000 0.5000 Mo
0.5000 0.0000 0.0000 Mo
0.5000 0.0000 0.5000 Mo
0.5000 0.5000 0.0000 Mo
0.5000 0.5000 0.5000 Mo
0.0086 0.1928 0.1135 N
0.0086 0.3158 0.8951 N
0.0793 0.6928 0.6842 N
0.0793 0.8865 0.3951 N
0.1049 0.6135 0.4207 N
0.1049 0.9914 0.6842 N
0.1135 0.0086 0.1928 N
0.1135 0.6049 0.9207 N
0.1842 0.1928 0.5793 N
0.1842 0.4914 0.6049 N
0.1928 0.1135 0.0086 N
0.1928 0.5793 0.1842 N
0.3072 0.3158 0.9207 N
0.3072 0.4914 0.3865 N
0.3158 0.8951 0.0086 N
0.3158 0.9207 0.3072 N
0.3865 0.3072 0.4914 N
0.3865 0.5793 0.8951 N
0.3951 0.0793 0.8865 N
0.3951 0.8158 0.5086 N
0.4207 0.1049 0.6135 N
0.4207 0.8158 0.8072 N
0.4914 0.3865 0.3072 N
0.4914 0.6049 0.1842 N
0.5086 0.3951 0.8158 N
0.5086 0.6135 0.6928 N
0.5793 0.1842 0.1928 N
0.5793 0.8951 0.3865 N
0.6049 0.1842 0.4914 N
0.6049 0.9207 0.1135 N
0.6135 0.4207 0.1049 N
0.6135 0.6928 0.5086 N
0.6842 0.0793 0.6928 N
0.6842 0.1049 0.9914 N
0.6928 0.5086 0.6135 N
0.6928 0.6842 0.0793 N
0.8072 0.4207 0.8158 N
0.8072 0.8865 0.9914 N
0.8158 0.5086 0.3951 N
0.8158 0.8072 0.4207 N
0.8865 0.3951 0.0793 N
0.8865 0.9914 0.8072 N
0.8951 0.0086 0.3158 N
0.8951 0.3865 0.5793 N
0.9207 0.1135 0.6049 N
0.9207 0.3072 0.3158 N
0.9914 0.6842 0.1049 N
0.9914 0.8072 0.8865 N